Entry from Alexandria via LeMat-Bulk: a geometry-optimized Ce2Pr3Ru2 structure (PBE-GGA).

Symmetry   P-1
Formation energy   -1.6 eV per formula unit

Cell: 3.8557 6.4756 9.1187 Å, 105.61 102.17 107.31°
Element x y z (fractional)
Ce1 0.6353 0.4611 0.8087
Ce2 0.3647 0.5389 0.1913
Pr1 0.1960 0.8194 0.5736
Pr2 0.8040 0.1806 0.4264
Pr3 0.5000 0.0000 0.0000
Ru1 0.0003 0.8052 0.1952
Ru2 0.9997 0.1948 0.8048